VASP calculation (GGA-PBE) on an optimized crystal structure of CaY2Ga9.

It has space group P4/mmm (No. 123), with a = 4.3035 Å, b = 4.3035 Å, c = 12.9005 Å, α = 90.00°, β = 90.00° and γ = 90.00°. The inequivalent atoms are Ca at (0.0000, 0.0000, 0.0000), Y at (0.0000, 0.0000, 0.3358), Ga at (0.0000, 0.5000, 0.1674), Ga at (0.0000, 0.5000, 0.5000), Ga at (0.5000, 0.5000, 0.0000) and Ga at (0.5000, 0.5000, 0.3331).

For the total magnetization, the calculation gives 0.0 μB per formula unit. The calculated formation energy is -0.462 eV/atom.